--- P ---
Density functional theory data (PBEsol) for Mn3SiNi after structural relaxation.

Geometry as CIF:
```
data_Mn3SiNi
_space_group_name_H-M_alt 'P m -3 m'
_space_group_IT_number 221
_space_group_name_Hall '-P 4 2 3'
_cell_length_a 4.226
_cell_length_b 4.226
_cell_length_c 4.226
_cell_angle_alpha 90.00
_cell_angle_beta 90.00
_cell_angle_gamma 90.00
loop_
_atom_site_label
_atom_site_type_symbol
_atom_site_fract_x
_atom_site_fract_y
_atom_site_fract_z
Mn1 Mn 0.000 0.000 0.500
Si1 Si 0.000 0.000 0.000
Ni1 Ni 0.500 0.500 0.500
```



--- Q ---
Density functional theory data (PBEsol) for Mn3SiNi after structural relaxation.

Geometry as CIF:
```
data_Mn3SiNi
_space_group_name_H-M_alt 'P 21 3'
_space_group_IT_number 198
_space_group_name_Hall 'P 2ac 2ab 3'
_cell_length_a 5.977
_cell_length_b 5.977
_cell_length_c 5.977
_cell_angle_alpha 90.00
_cell_angle_beta 90.00
_cell_angle_gamma 90.00
loop_
_atom_site_label
_atom_site_type_symbol
_atom_site_fract_x
_atom_site_fract_y
_atom_site_fract_z
Mn1 Mn 0.044 0.123 0.797
Si1 Si 0.063 0.937 0.437
Ni1 Ni 0.187 0.187 0.187
```



Structures ranked by computed energy, the most stable listed first: Q, P.